# 1
A plane-wave DFT calculation with PBE was carried out for a relaxed structure of CaV3Ag.

Output
E_form   1.359 eV per atom
Fermi-level density of states   12.82 states/eV/f.u.
ΔE to the lowest computed polymorph   0 meV/atom

a = 5.0387 Å, b = 5.0387 Å, c = 5.0387 Å
α = 90.00°, β = 90.00°, γ = 90.00°
With the nearest neighbours (Å) after each atom.
Sites, in units of the cell vectors:
V  0.5000  0.0000  0.0000  2 Ag 2.52
Ag  0.0000  0.0000  0.0000  6 V 2.52
Ca  0.5000  0.5000  0.5000  12 V 3.56
V  0.0000  0.0000  0.5000  2 Ag 2.52
V  0.0000  0.5000  0.0000  2 Ag 2.52

# 2
A plane-wave DFT calculation with PBE was carried out for a relaxed structure of CaAg2W.

Output
E_form   0.575 eV per atom
Fermi-level density of states   3.03 states/eV/f.u.
ΔE to the lowest computed polymorph   96 meV/atom

a = 5.7223 Å, b = 5.7223 Å, c = 5.3192 Å
α = 68.04°, β = 68.04°, γ = 28.72°
With the nearest neighbours (Å) after each atom.
Sites, in units of the cell vectors:
Ag  0.0041  0.0041  0.0822  4 Ag 2.84-3.00, 3 W 2.93-3.03, 4 Ca 2.97-3.06
W  0.2615  0.2615  0.1569  2 W 2.84, 7 Ag 2.93-3.05, 1 Ca 3.17
Ca  0.4965  0.4965  0.5788  2 Ca 2.84, 7 Ag 2.93-3.06, 1 W 3.17
Ag  0.7379  0.7379  0.6822  4 Ag 2.84-3.00, 3 Ca 2.93-3.05, 4 W 3.00-3.05

# 3
A plane-wave DFT calculation with PBE was carried out for a relaxed structure of CaAg2W.

Output
E_form   0.555 eV per atom
Fermi-level density of states   3.65 states/eV/f.u.
ΔE to the lowest computed polymorph   76 meV/atom

a = 5.3431 Å, b = 5.3431 Å, c = 2.8078 Å
α = 90.00°, β = 90.00°, γ = 107.63°
With the nearest neighbours (Å) after each atom.
Sites, in units of the cell vectors:
W  0.0000  0.5000  0.5000  2 W 2.81, 8 Ag 3.02
Ca  0.5000  0.0000  0.5000  2 Ca 2.81, 8 Ag 3.02
Ag  0.5000  0.5000  0.0000  2 Ag 2.81, 4 Ca 3.02, 4 W 3.02
Ag  0.0000  0.0000  0.0000  2 Ag 2.81, 4 W 3.02, 4 Ca 3.02

# 4
A plane-wave DFT calculation with PBE was carried out for a relaxed structure of CaAg2W.

Output
E_form   0.479 eV per atom
Fermi-level density of states   2.36 states/eV/f.u.
ΔE to the lowest computed polymorph   0 meV/atom

a = 2.9214 Å, b = 2.9215 Å, c = 9.0773 Å
α = 90.00°, β = 90.00°, γ = 90.13°
With the nearest neighbours (Å) after each atom.
Sites, in units of the cell vectors:
Ag  0.0000  0.0000  0.9969  4 W 2.92, 8 Ag 2.92-2.96
Ag  0.5000  0.5000  0.2298  8 Ag 2.92-2.96, 4 Ca 3.23-3.24
W  0.5000  0.5000  0.7692  4 Ag 2.92, 4 W 2.92, 4 Ca 3.17
Ca  0.0000  0.0000  0.5041  4 Ca 2.92, 4 W 3.17, 4 Ag 3.23-3.24